Compound: TeOsRh
Source: Alexandria
Functional: SCAN
Structure: PBEsol geometry

The value obtained for the total energy is -47.001 eV per atom. For the density, the calculation gives 14.0 g/cm³. As for the offset from the most stable computed form: 0.0000 eV/atom.

The space group is I4mm (No. 107) and the conventional cell measures 3.006, 3.006 and 11.018 Å, with angles of 90.00, 90.00 and 90.00 degrees. Symmetry generates all atoms from Te at (0.000, 0.000, 0.000), Os at (0.000, 0.000, 0.665) and Rh at (0.000, 0.000, 0.314).


Compound: FeRe3
Source: Alexandria
Functional: SCAN
Structure: PBEsol geometry

The value obtained for the total energy is -57.724 eV per atom. The energy of formation from the pure elements is 131 meV per atom. For the density, the calculation gives 18.8 g/cm³.

The space group is Pmm2 (No. 25) and the conventional cell measures 2.704, 4.308 and 4.671 Å, with angles of 90.00, 90.00 and 90.00 degrees. Symmetry generates all atoms from Fe at (0.000, 0.000, 0.000), Re at (0.000, 0.500, 0.335), Re at (0.500, 0.000, 0.513) and Re at (0.500, 0.500, 0.847).


Compound: CrHgAsBr2
Source: Alexandria
Functional: SCAN
Structure: PBEsol geometry

The value obtained for the total energy is -29.241 eV per atom. For the density, the calculation gives 6.7 g/cm³.

The space group is P4/mmm (No. 123) and the conventional cell measures 4.979, 4.979 and 4.840 Å, with angles of 90.00, 90.00 and 90.00 degrees. Symmetry generates all atoms from Cr at (0.000, 0.000, 0.000), Hg at (0.500, 0.500, 0.500), As at (0.000, 0.000, 0.500) and Br at (0.000, 0.500, 0.000).


Compound: AlW2Au
Source: Alexandria
Functional: SCAN
Structure: PBEsol geometry

The value obtained for the total energy is -53.864 eV per atom. The energy of formation from the pure elements is 207 meV per atom. For the density, the calculation gives 15.8 g/cm³.

The space group is P4/mmm (No. 123) and the conventional cell measures 2.724, 2.724 and 8.366 Å, with angles of 90.00, 90.00 and 90.00 degrees. Symmetry generates all atoms from Al at (0.000, 0.000, 0.000), W at (0.500, 0.500, 0.241) and Au at (0.000, 0.000, 0.500).


Compound: ScCr2Cl
Source: Alexandria
Functional: SCAN
Structure: PBEsol geometry

The value obtained for the total energy is -14.715 eV per atom. For the density, the calculation gives 4.3 g/cm³. As for the offset from the most stable computed form: 0.3766 eV/atom.

The space group is P4/mmm (No. 123) and the conventional cell measures 3.039, 3.039 and 7.658 Å, with angles of 90.00, 90.00 and 90.00 degrees. Symmetry generates all atoms from Sc at (0.000, 0.000, 0.000), Cr at (0.500, 0.500, 0.266) and Cl at (0.000, 0.000, 0.500).


Compound: CdFe3Ag
Source: Alexandria
Functional: SCAN
Structure: PBEsol geometry

The value obtained for the total energy is -21.630 eV per atom. The energy of formation from the pure elements is 1604 meV per atom. For the density, the calculation gives 6.3 g/cm³.

The space group is Pm-3m (No. 221) and the conventional cell measures 4.669, 4.669 and 4.669 Å, with angles of 90.00, 90.00 and 90.00 degrees. Symmetry generates all atoms from Cd at (0.000, 0.000, 0.000), Fe at (0.000, 0.000, 0.500) and Ag at (0.500, 0.500, 0.500).


Compound: ZrScBr2N
Source: Alexandria
Functional: SCAN
Structure: PBEsol geometry

The value obtained for the total energy is -17.895 eV per atom. For the density, the calculation gives 3.7 g/cm³.

The space group is P4/mmm (No. 123) and the conventional cell measures 4.850, 4.850 and 5.851 Å, with angles of 90.00, 90.00 and 90.00 degrees. Symmetry generates all atoms from Zr at (0.000, 0.000, 0.000), Sc at (0.000, 0.000, 0.500), Br at (0.000, 0.500, 0.500) and N at (0.500, 0.500, 0.000).


Compound: Hg3IrS
Source: Alexandria
Functional: SCAN
Structure: PBEsol geometry

The value obtained for the total energy is -56.286 eV per atom. For the density, the calculation gives 10.2 g/cm³.

The space group is Pm-3m (No. 221) and the conventional cell measures 5.122, 5.122 and 5.122 Å, with angles of 90.00, 90.00 and 90.00 degrees. Symmetry generates all atoms from Hg at (0.000, 0.000, 0.500), Ir at (0.000, 0.000, 0.000) and S at (0.500, 0.500, 0.500).


Compound: YCuSb2
Source: Alexandria
Functional: SCAN
Structure: PBEsol geometry

The value obtained for the total energy is -29.808 eV per atom. For the density, the calculation gives 6.8 g/cm³. As for the offset from the most stable computed form: 0.2854 eV/atom.

The space group is Pmmm (No. 47) and the conventional cell measures 3.831, 4.113 and 6.128 Å, with angles of 90.00, 90.00 and 90.00 degrees. Symmetry generates all atoms from Y at (0.000, 0.000, 0.000), Cu at (0.500, 0.000, 0.500) and Sb at (0.500, 0.500, 0.248).


Compound: Na3ScB2O6
Source: Alexandria
Functional: SCAN
Structure: PBEsol geometry

The value obtained for the total energy is -9.302 eV per atom. For the density, the calculation gives 2.9 g/cm³.

The space group is P2_1/c (No. 14) and the conventional cell measures 5.074, 9.012 and 6.979 Å, with angles of 90.00, 123.42 and 90.00 degrees. Symmetry generates all atoms from Na at (0.000, 0.000, 0.000), Na at (0.264, 0.169, 0.763), Sc at (0.500, 0.000, 0.500), B at (0.226, 0.669, 0.238), O at (0.067, 0.107, 0.347), O at (0.267, 0.681, 0.790) and O at (0.477, 0.583, 0.275).


Compound: FePPb3
Source: Alexandria
Functional: SCAN
Structure: PBEsol geometry

The value obtained for the total energy is -50.134 eV per atom. The energy of formation from the pure elements is 1040 meV per atom. For the density, the calculation gives 7.9 g/cm³.

The space group is Pm-3m (No. 221) and the conventional cell measures 5.293, 5.293 and 5.293 Å, with angles of 90.00, 90.00 and 90.00 degrees. Symmetry generates all atoms from Fe at (0.000, 0.000, 0.000), P at (0.500, 0.500, 0.500) and Pb at (0.000, 0.500, 0.500).


Compound: K2TeMo
Source: Alexandria
Functional: SCAN
Structure: PBEsol geometry

The value obtained for the total energy is -21.750 eV per atom. For the density, the calculation gives 4.2 g/cm³.

The space group is F-43m (No. 216) and the conventional cell measures 7.821, 7.821 and 7.821 Å, with angles of 90.00, 90.00 and 90.00 degrees. Symmetry generates all atoms from K at (0.000, 0.000, 0.000), K at (0.250, 0.250, 0.250), Te at (0.000, 0.000, 0.500) and Mo at (0.250, 0.250, 0.750).